The following is a DFT calculation (PBE) of crystalline KAgIBr2 at its relaxed geometry.

Output
The calculation puts the formation energy without anion corrections at -0.07 eV per atom. Its excess energy over the best structure of this formula in the dataset is 687 meV/atom. Its electronic total energy is -1.838 eV per atom.

POSCAR file:
```
KAgIBr2
1.0
5.982 0.000 0.000
0.000 5.982 0.000
0.000 0.000 6.616
K Ag I Br
1 1 1 2
Direct
0.000 0.000 0.000 K
0.500 0.500 0.500 Ag
0.000 0.000 0.500 I
0.000 0.500 0.000 Br
0.500 0.000 0.000 Br
```